# 1
4
Lattice="-2.139 -0.677 2.580 -1.317 -2.661 -1.790 5.048 -3.222 1.075" Properties=species:S:1:pos:R:3 comment="TaCuSe2 | Alexandria via LeMat-Bulk | SCAN | PBEsol geometry" e_form_raw_ev_per_atom=-0.383 total_energy_ev_per_atom=-30.87 sg="Amm2 (38)" pbc="T T T"
Se 1.119 -1.001 0.665
Ta 1.375 -2.526 2.743
Cu -0.726 -2.566 0.990
Se 2.597 -4.244 1.040


# 2
4
Lattice="-3.368 1.093 1.090 1.089 -0.170 3.537 1.234 3.992 -0.188" Properties=species:S:1:pos:R:3 comment="TaCu2Se | Alexandria via LeMat-Bulk | SCAN | PBEsol geometry" e_form_raw_ev_per_atom=0.300 total_energy_ev_per_atom=-28.97 sg="P4/mmm (123)" pbc="T T T"
Se -0.522 2.457 2.219
Cu 0.545 -0.085 1.768
Cu -1.684 0.546 0.545
Ta 0.617 1.996 -0.094


# 3
4
Lattice="-2.845 -0.438 -0.891 2.117 -4.619 0.239 -0.233 0.991 4.983" Properties=species:S:1:pos:R:3 comment="TaCuSe2 | Alexandria via LeMat-Bulk | SCAN | PBEsol geometry" e_form_raw_ev_per_atom=0.258 total_energy_ev_per_atom=-30.23 sg="C2/m (12)" pbc="T T T"
Ta 0.000 0.000 0.000
Se 1.058 -2.309 0.120
Cu 0.942 -1.814 2.611
Se -0.116 0.496 2.492


# 4
16
Lattice="5.550 0.000 0.000 0.000 7.839 0.000 0.000 0.000 7.839" Properties=species:S:1:pos:R:3 comment="TaVCu6Se8 | Alexandria via LeMat-Bulk | SCAN | PBEsol geometry" e_form_raw_ev_per_atom=-0.549 total_energy_ev_per_atom=-21.54 sg="P-4m2 (115)" pbc="T T T"
Cu 0.000 1.975 5.864
Ta 0.000 0.000 0.000
Se 4.189 3.920 2.006
V 0.000 3.920 3.920
Se 1.410 5.839 0.000
Se 1.361 2.006 3.920
Se 4.140 0.000 5.839
Se 1.410 2.000 0.000
Cu 0.000 1.975 1.975
Cu 2.775 3.920 3.920
Cu 0.000 5.864 1.975
Cu 0.000 5.864 5.864
Se 4.189 3.920 5.834
Cu 2.775 0.000 0.000
Se 1.361 5.834 3.920
Se 4.140 0.000 2.000


# 5
4
Lattice="-1.442 0.098 3.773 3.987 -0.151 -0.636 0.226 6.309 -0.078" Properties=species:S:1:pos:R:3 comment="TbCuSe2 | Alexandria via LeMat-Bulk | SCAN | PBEsol geometry" e_form_raw_ev_per_atom=-1.359 total_energy_ev_per_atom=-26.89 sg="P3m1 (156)" pbc="T T T"
Cu 0.564 5.484 2.236
Se 0.424 1.582 2.284
Se 2.351 4.773 0.774
Tb 0.111 3.101 -0.038


# 6
3
Lattice="-2.150 -3.423 0.845 -0.102 -3.100 -2.727 1.978 -3.533 0.815" Properties=species:S:1:pos:R:3 comment="CuTcSe | Alexandria via LeMat-Bulk | SCAN | PBEsol geometry" e_form_raw_ev_per_atom=0.827 total_energy_ev_per_atom=-22.62 sg="F-43m (216)" pbc="T T T"
Tc -0.137 -5.028 -0.534
Se 0.000 0.000 0.000
Cu -0.206 -7.542 -0.800


# 7
5
Lattice="4.787 0.000 0.000 0.000 4.787 0.000 0.000 0.000 4.787" Properties=species:S:1:pos:R:3 comment="CuTcSe3 | Alexandria via LeMat-Bulk | SCAN | PBEsol geometry" e_form_raw_ev_per_atom=0.707 total_energy_ev_per_atom=-21.39 sg="Pm-3m (221)" pbc="T T T"
Cu 2.394 2.394 2.394
Tc 0.000 0.000 0.000
Se 2.394 0.000 0.000
Se 0.000 0.000 2.394
Se 0.000 2.394 0.000


# 8
6
Lattice="-3.486 -2.925 3.057 0.952 -0.675 5.357 -3.185 2.512 3.688" Properties=species:S:1:pos:R:3 comment="CuTcSe4 | Alexandria via LeMat-Bulk | SCAN | PBEsol geometry" e_form_raw_ev_per_atom=1.188 total_energy_ev_per_atom=-20.57 sg="F-43m (216)" pbc="T T T"
Tc -4.289 -0.816 9.076
Se -3.737 0.848 6.382
Se -1.668 -0.745 7.216
Se -2.144 -0.408 4.538
Cu 0.000 0.000 0.000
Se -3.888 -1.871 6.066


# 9
4
Lattice="4.952 0.000 0.000 2.476 4.288 0.000 2.476 1.429 4.043" Properties=species:S:1:pos:R:3 comment="CuTe2Se | Alexandria via LeMat-Bulk | SCAN | PBEsol geometry" e_form_raw_ev_per_atom=0.537 total_energy_ev_per_atom=-26.91 sg="F-43m (216)" pbc="T T T"
Cu 4.952 2.859 2.022
Se 2.476 1.429 1.011
Te 7.428 4.288 3.032
Te 0.000 0.000 0.000


# 10
3
Lattice="3.782 0.000 0.000 -1.891 3.276 0.000 0.000 0.000 4.864" Properties=species:S:1:pos:R:3 comment="CuTeSe | Alexandria via LeMat-Bulk | SCAN | PBEsol geometry" e_form_raw_ev_per_atom=-0.028 relative_energy_kj_per_mol_atoms=1.10 total_energy_ev_per_atom=-24.20 sg="P3m1 (156)" pbc="T T T"
Te 1.891 1.092 1.390
Cu 0.000 0.000 4.776
Se 0.000 2.184 3.561


# 11
4
Lattice="3.882 0.000 0.000 0.000 4.974 -0.004 0.000 -1.566 4.721" Properties=species:S:1:pos:R:3 comment="CuTe2Se | Alexandria via LeMat-Bulk | SCAN | PBEsol geometry" e_form_raw_ev_per_atom=0.067 total_energy_ev_per_atom=-27.38 sg="Cmmm (65)" pbc="T T T"
Se 1.941 0.000 0.000
Te 0.000 3.129 1.328
Cu 1.941 1.704 2.358
Te 0.000 0.279 3.388


# 12
12
Lattice="-1.050 2.346 5.719 -5.361 -3.234 0.342 3.078 -4.832 2.548" Properties=species:S:1:pos:R:3 comment="CuTeSe | Alexandria via LeMat-Bulk | SCAN | PBEsol geometry" e_form_raw_ev_per_atom=-0.040 relative_energy_kj_per_mol_atoms=0.00 total_energy_ev_per_atom=-24.22 sg="P2_13 (198)" pbc="T T T"
Te -4.963 -1.967 4.191
Te -0.788 -5.956 3.158
Se -3.680 -4.452 1.941
Se -2.639 0.275 5.486
Cu -2.295 -1.697 7.054
Se 1.702 -3.745 4.495
Cu -4.215 -4.532 4.427
Se -2.050 -3.518 5.295
Te -1.250 -2.145 3.229
Cu -0.046 -0.079 0.120
Te 0.334 -1.370 6.639
Cu -0.111 -5.131 5.617